(1)
CdIn2Pd9 | PBE | optimized geometry

Structure (POSCAR):
```
CdIn2Pd9
1.0
4.036 0.000 0.000
0.000 4.036 0.000
0.000 0.000 12.083
In Pd Cd
2 9 1
direct
0.000 0.000 0.667 In
0.000 0.000 0.333 In
0.000 0.500 0.832 Pd
0.500 0.500 0.334 Pd
0.500 0.500 0.666 Pd
0.500 0.500 0.000 Pd
0.500 0.000 0.832 Pd
0.000 0.500 0.500 Pd
0.500 0.000 0.168 Pd
0.000 0.500 0.168 Pd
0.500 0.000 0.500 Pd
0.000 0.000 0.000 Cd
```

symmetry	No. 123
ΔE_f	-0.362	eV/atom
D(E_F)	1.311	states/eV/atom
magnetic moment	0.0	Bohr magnetons per cell


(2)
CdIn3Pd | PBE | optimized geometry

Structure (POSCAR):
```
CdIn3Pd
1.0
6.825 0.801 2.962
-0.039 6.871 2.962
0.725 0.819 5.685
In Pd Cd
6 2 2
direct
0.581 0.066 0.151 In
0.934 0.419 0.849 In
0.419 0.934 0.849 In
0.422 0.422 0.362 In
0.578 0.578 0.638 In
0.066 0.581 0.151 In
0.262 0.262 0.002 Pd
0.738 0.738 0.998 Pd
0.941 0.941 0.345 Cd
0.059 0.059 0.655 Cd
```

symmetry	No. 12
ΔE_f	-0.180	eV/atom
relative energy among the computed polymorphs	0	meV per atom
D(E_F)	0.303	states/eV/atom
magnetic moment	0.0	Bohr magnetons per cell


(3)
Cd3InPd4 | PBE | optimized geometry

Structure (POSCAR):
```
Cd3InPd4
1.0
4.545 0.000 -1.227
-0.326 4.538 -1.209
-0.511 -0.579 7.138
In Cd Pd
1 3 4
direct
0.500 0.000 0.000 In
0.249 0.749 0.497 Cd
0.000 0.500 0.000 Cd
0.751 0.251 0.503 Cd
0.877 0.877 0.754 Pd
0.123 0.123 0.246 Pd
0.377 0.377 0.754 Pd
0.623 0.623 0.246 Pd
```

symmetry	No. 139
ΔE_f	-0.434	eV/atom
D(E_F)	0.402	states/eV/atom
magnetic moment	0.0	Bohr magnetons per cell


(4)
CdIn2Pd2 | PBE | optimized geometry

Structure (POSCAR):
```
CdIn2Pd2
1.0
4.581 0.000 0.000
0.000 5.484 -0.336
0.000 -2.432 8.283
Pd In Cd
4 4 2
direct
0.250 0.897 0.597 Pd
0.750 0.673 0.055 Pd
0.250 0.327 0.945 Pd
0.750 0.103 0.403 Pd
0.250 0.803 0.894 In
0.250 0.368 0.556 In
0.750 0.197 0.106 In
0.750 0.632 0.444 In
0.250 0.791 0.249 Cd
0.750 0.209 0.751 Cd
```

symmetry	No. 11
ΔE_f	-0.384	eV/atom
D(E_F)	0.596	states/eV/atom
magnetic moment	0.0	Bohr magnetons per cell


(5)
Cd3InPd6 | PBE | optimized geometry

Structure (POSCAR):
```
Cd3InPd6
1.0
6.916 0.019 0.014
3.323 6.251 1.007
3.323 3.038 5.554
In Pd Cd
1 6 3
direct
0.500 0.500 0.500 In
0.616 0.883 0.380 Pd
0.384 0.117 0.620 Pd
0.206 0.747 0.747 Pd
0.794 0.253 0.253 Pd
0.616 0.380 0.883 Pd
0.384 0.620 0.117 Pd
0.811 0.750 0.750 Cd
0.189 0.250 0.250 Cd
0.000 0.000 0.000 Cd
```

symmetry	No. 12
ΔE_f	-0.101	eV/atom
relative energy among the computed polymorphs	296	meV per atom
D(E_F)	0.403	states/eV/atom
magnetic moment	0.0	Bohr magnetons per cell


(6)
Pm2CdIn2Pd5 | PBE | optimized geometry

Structure (POSCAR):
```
Pm2CdIn2Pd5
1.0
3.608 0.000 0.000
0.000 10.748 0.000
0.000 0.000 10.748
Pm Pd Cd In
4 10 2 4
direct
0.000 0.331 0.831 Pm
0.000 0.831 0.669 Pm
0.000 0.669 0.169 Pm
0.000 0.169 0.331 Pm
0.500 0.500 0.000 Pd
0.500 0.701 0.466 Pd
0.500 0.299 0.534 Pd
0.500 0.466 0.299 Pd
0.500 0.034 0.799 Pd
0.500 0.799 0.966 Pd
0.500 0.966 0.201 Pd
0.500 0.000 0.500 Pd
0.500 0.201 0.034 Pd
0.500 0.534 0.701 Pd
0.000 0.000 0.000 Cd
0.000 0.500 0.500 Cd
0.000 0.368 0.132 In
0.000 0.632 0.868 In
0.000 0.132 0.632 In
0.000 0.868 0.368 In
```

symmetry	No. 127
ΔE_f	-0.514	eV/atom
D(E_F)	0.575	states/eV/atom
magnetic moment	0.0	Bohr magnetons per cell